No. 1
! PBE-GGA Ce2Y3ThAs6, optimized geometry; values from VASP
&SYSTEM
  ibrav = 0, nat = 12, ntyp = 4
/
ATOMIC_SPECIES
Ce 140.12 Ce.upf
As 74.92 As.upf
Th 232.04 Th.upf
Y 88.91 Y.upf
ATOMIC_POSITIONS crystal
Ce 0.333 0.667 0.000
Ce 0.667 0.333 0.000
As 0.085 0.419 0.255
As 0.751 0.751 0.255
As 0.581 0.915 0.745
As 0.249 0.249 0.745
As 0.419 0.085 0.255
As 0.915 0.581 0.745
Th 0.000 0.000 0.000
Y 0.833 0.167 0.500
Y 0.500 0.500 0.500
Y 0.167 0.833 0.500
CELL_PARAMETERS angstrom
-2.571 6.735 -0.788
-3.023 -5.488 -3.652
-2.456 -1.463 6.631
! Symmetry: C2/m (12)
! Total energy (eV per cell): -84.56
! ΔH_f (0 K) (eV per atom): -1.498


No. 2
! PBE-GGA Nd6Bi3SbTe2, optimized geometry; values from VASP
&SYSTEM
  ibrav = 0, nat = 12, ntyp = 4
/
ATOMIC_SPECIES
Nd 144.24 Nd.upf
Bi 208.98 Bi.upf
Te 127.60 Te.upf
Sb 121.76 Sb.upf
ATOMIC_POSITIONS crystal
Nd 0.664 0.080 0.328
Nd 0.336 0.920 0.672
Nd 0.999 0.244 0.999
Nd 0.335 0.415 0.670
Nd 0.001 0.756 0.001
Nd 0.665 0.585 0.330
Bi 0.832 0.167 0.664
Bi 0.500 0.500 0.000
Bi 0.168 0.833 0.336
Te 0.167 0.334 0.334
Te 0.833 0.666 0.666
Sb 0.500 0.000 0.000
CELL_PARAMETERS angstrom
-4.289 1.066 -1.155
-0.534 -7.587 -5.020
-1.005 -3.506 9.529
! Formation energy from raw total energies (meV per atom): -1172
! Symmetry: C2/m (12)
! Total energy (eV per cell): -64.71


No. 3
! PBE-GGA NaMgCl3, optimized geometry; values from VASP
&SYSTEM
  ibrav = 0, nat = 5, ntyp = 3
/
ATOMIC_SPECIES
Cl 35.45 Cl.upf
Mg 24.30 Mg.upf
Na 22.99 Na.upf
ATOMIC_POSITIONS crystal
Cl 0.000 0.500 0.000
Cl 0.000 0.000 0.500
Cl 0.500 0.000 0.000
Mg 0.000 0.000 0.000
Na 0.500 0.500 0.500
CELL_PARAMETERS angstrom
4.963 0.000 0.000
0.000 4.963 0.000
0.000 0.000 4.963
! Formation energy from raw total energies (meV per atom): -1713
! Offset from the most stable computed form (meV per atom): 117
! Symmetry: Pm-3m (221)
! Total energy (eV per cell): -17.02


No. 4
! PBE-GGA InPbBr, optimized geometry; values from VASP
&SYSTEM
  ibrav = 0, nat = 3, ntyp = 3
/
ATOMIC_SPECIES
Br 79.90 Br.upf
In 114.82 In.upf
Pb 207.20 Pb.upf
ATOMIC_POSITIONS crystal
Br 0.997 0.997 0.000
In 0.323 0.323 0.000
Pb 0.679 0.679 0.000
CELL_PARAMETERS angstrom
6.272 -0.599 0.000
4.214 4.685 0.000
-5.243 -2.043 2.835
! Formation energy from raw total energies (meV per atom): -190
! Offset from the most stable computed form (meV per atom): 118
! Symmetry: I4mm (107)
! Total energy (eV per cell): -8.69


These records have D(E_F) values of 13.11; 4.49; 0.00; 1.17 states/eV/f.u., in the order they appear.